YbAlAg2: optimized geometry, PBE.

Values from the calculation:
The calculation puts the total DFT energy (no corrections) at -0.223 Ry per atom. The calculated volume comes out at 19.98 A^3/atom. The value obtained for the formation energy from the elements is -288 meV per atom.

The structure in POSCAR format:
```
YbAlAg2
1.0
4.8346 0.0000 0.0000
2.4173 4.1869 0.0000
2.4173 1.3956 3.9475
Yb Al Ag
1 1 2
Direct
0.5000 0.5000 0.5000 Yb
0.0000 0.0000 0.0000 Al
0.7500 0.7500 0.7500 Ag
0.2500 0.2500 0.2500 Ag
```

=====

AlZn8Ag6: optimized geometry, PBE.

Values from the calculation:
The calculation puts the total DFT energy (no corrections) at -0.150 Ry per atom. The calculated volume comes out at 17.25 A^3/atom. The value obtained for the formation energy from the elements is 27 meV per atom.

The structure in POSCAR format:
```
AlZn8Ag6
1.0
7.3320 -0.0001 0.0000
3.6660 6.3497 0.0000
3.6660 2.1165 5.5585
Al Zn Ag
1 8 6
Direct
0.0000 0.0000 0.0000 Al
0.5536 0.1843 0.3859 Zn
0.8157 0.1238 0.6141 Zn
0.1238 0.4464 0.6141 Zn
0.7402 0.7402 0.7794 Zn
0.2598 0.2598 0.2206 Zn
0.8762 0.5536 0.3859 Zn
0.1843 0.8762 0.3859 Zn
0.4464 0.8157 0.6141 Zn
0.3671 0.1000 0.8632 Ag
0.9000 0.3303 0.1368 Ag
0.3303 0.6329 0.1368 Ag
0.6697 0.3671 0.8632 Ag
0.1000 0.6697 0.8632 Ag
0.6329 0.9000 0.1368 Ag
```

=====

Al2ZnAg: optimized geometry, PBE.

Values from the calculation:
The calculation puts the total DFT energy (no corrections) at -0.213 Ry per atom. The calculated volume comes out at 16.45 A^3/atom. The value obtained for the formation energy from the elements is 0 meV per atom.

The structure in POSCAR format:
```
Al2ZnAg
1.0
2.8668 0.0000 0.0000
0.0000 3.9794 0.0000
0.0000 0.0000 5.7696
Zn Al Ag
1 2 1
Direct
0.0000 0.0000 0.4939 Zn
0.0000 0.0000 0.9969 Al
0.5000 0.5000 0.2577 Al
0.5000 0.5000 0.7515 Ag
```

=====

Al6ZnAg2: optimized geometry, PBE.

Values from the calculation:
The calculation puts the total DFT energy (no corrections) at -0.228 Ry per atom. The calculated volume comes out at 18.69 A^3/atom. The energy above the lowest structure with this stoichiometry comes out at 43 meV per atom. The value obtained for the formation energy from the elements is 164 meV per atom.

The structure in POSCAR format:
```
Al6ZnAg2
1.0
5.5537 0.0000 0.0000
2.7769 4.8097 0.0000
2.7769 1.6032 6.2990
Al Zn Ag
6 1 2
Direct
0.7894 0.2691 0.6725 Al
0.2690 0.7894 0.6725 Al
0.2691 0.2690 0.6725 Al
0.0652 0.5781 0.2915 Al
0.0652 0.0652 0.2915 Al
0.5781 0.0652 0.2915 Al
0.3409 0.3409 0.9772 Zn
0.7272 0.7272 0.8183 Ag
0.5615 0.5615 0.3156 Ag
```